The following is a DFT calculation (GGA-PBE) of a relaxed structure of Pr2HoEr.

Output
ΔH_f (0 K) = 0.02 eV/atom
SG = P4/mmm (123)
Distance to the lowest polymorph of the same formula = 0.007 eV/atom

abc: 5.1476 5.1476 5.0286
angles: 90.00 90.00 90.00
Fractional coordinates of all 4 atoms:
Pr 0.0000 0.5000 0.0000
Pr 0.5000 0.0000 0.0000
Ho 0.0000 0.0000 0.5000
Er 0.5000 0.5000 0.5000


The following is a DFT calculation (GGA-PBE) of a relaxed structure of Zn2Hg.

Output
ΔH_f (0 K) = 0.15 eV/atom
SG = P-3m1 (164)

abc: 4.3229 4.3229 3.6435
angles: 90.00 90.00 120.00
Fractional coordinates of all 3 atoms:
Zn 0.3333 0.6667 0.3841
Zn 0.6667 0.3333 0.6159
Hg 0.0000 0.0000 0.0000


The following is a DFT calculation (GGA-PBE) of a relaxed structure of MnCdIn2Br6.

Output
SG = P-1 (2)
Formation energy without anion corrections = -7.083 eV per formula unit

abc: 7.5801 7.5843 7.5855
angles: 60.90 60.96 60.90
Fractional coordinates of all 10 atoms:
Mn 0.0000 0.0000 0.0000
Cd 0.5000 0.5000 0.5000
In 0.2265 0.2270 0.2261
In 0.7735 0.7730 0.7739
Br 0.1739 0.7630 0.3135
Br 0.2376 0.6872 0.8255
Br 0.3129 0.1744 0.7643
Br 0.6871 0.8256 0.2357
Br 0.7624 0.3128 0.1745
Br 0.8261 0.2370 0.6865


The following is a DFT calculation (GGA-PBE) of a relaxed structure of YZn10Ga2.

Output
ΔH_f (0 K) = -0.13 eV/atom
SG = Fmmm (69)

abc: 8.7340 6.8372 6.7266
angles: 80.17 50.47 49.36
Fractional coordinates of all 13 atoms:
Y 0.0000 0.0000 0.0000
Zn 0.0000 0.5000 0.0000
Zn 0.0027 0.3544 0.6456
Zn 0.2826 0.4974 0.5026
Zn 0.3544 0.0027 0.9973
Zn 0.4974 0.2826 0.7174
Zn 0.5000 0.0000 0.5000
Zn 0.5026 0.7174 0.2826
Zn 0.6456 0.9973 0.0027
Zn 0.7174 0.5026 0.4974
Zn 0.9973 0.6456 0.3544
Ga 0.0000 0.0000 0.5000
Ga 0.5000 0.5000 0.0000


The following is a DFT calculation (GGA-PBE) of a relaxed structure of Cd2SnAu6.

Output
ΔH_f (0 K) = -0.09 eV/atom
SG = C2/m (12)
Distance to the lowest polymorph of the same formula = 0.000 eV/atom

abc: 5.1739 5.1739 8.7133
angles: 101.13 101.13 50.58
Fractional coordinates of all 9 atoms:
Cd 0.1947 0.1947 0.2429
Cd 0.8053 0.8053 0.7571
Sn 0.5000 0.5000 0.0000
Au 0.1555 0.1555 0.5638
Au 0.1592 0.1592 0.8983
Au 0.4755 0.4755 0.6606
Au 0.5245 0.5245 0.3394
Au 0.8408 0.8408 0.1017
Au 0.8445 0.8445 0.4362


The following is a DFT calculation (GGA-PBE) of a relaxed structure of FeTe2Os.

Output
SG = F-43m (216)
Formation energy without anion corrections = 4.660 eV per formula unit
Distance to the lowest polymorph of the same formula = 1.006 eV/atom

abc: 4.7994 4.7994 4.7994
angles: 60.00 60.00 60.00
Fractional coordinates of all 4 atoms:
Fe 0.0000 0.0000 0.0000
Te 0.2500 0.2500 0.2500
Te 0.5000 0.5000 0.5000
Os 0.7500 0.7500 0.7500


The following is a DFT calculation (GGA-PBE) of a relaxed structure of Y2AlSi3Ir4.

Output
SG = P-4m2 (115)
Formation energy without anion corrections = -10.449 eV per formula unit

abc: 4.1202 4.1202 10.0614
angles: 90.00 90.00 90.00
Fractional coordinates of all 10 atoms:
Y 0.0000 0.5000 0.2491
Y 0.5000 0.0000 0.7509
Al 0.0000 0.0000 0.5000
Si 0.0000 0.5000 0.8712
Si 0.5000 0.0000 0.1288
Si 0.5000 0.5000 0.5000
Ir 0.0000 0.0000 0.0000
Ir 0.0000 0.5000 0.6361
Ir 0.5000 0.0000 0.3639
Ir 0.5000 0.5000 0.0000


The following is a DFT calculation (GGA-PBE) of a relaxed structure of PmAuCl.

Output
SG = R-3m (166)
Formation energy without anion corrections = -4.029 eV per formula unit

abc: 11.7839 11.7839 11.7839
angles: 20.43 20.43 20.43
Fractional coordinates of all 6 atoms:
Pm 0.2388 0.2388 0.2388
Pm 0.7612 0.7612 0.7612
Au 0.1429 0.1429 0.1429
Au 0.8571 0.8571 0.8571
Cl 0.3807 0.3807 0.3807
Cl 0.6193 0.6193 0.6193


Energy: -18.62; -2.41; -32.68; -26.97; -26.33; -21.32; -78.83; -27.81 (eV for the cell shown)